{
  "formula": "La2Pr5DySc",
  "functional": "PBE-GGA",
  "state": "relaxed",
  "total_magnetization_mub_per_fu": 0.00,
  "formation_energy_mev_per_atom": 249,
  "crystal_system": "tetragonal",
  "cell": [[-4.244, 4.244, 8.699], [4.244, -4.244, 8.699], [4.244, 4.244, -8.699]],
  "species": ["La", "La", "La", "La", "Pr", "Pr", "Pr", "Pr", "Pr", "Pr", "Pr", "Pr", "Pr", "Pr", "Dy", "Dy", "Sc", "Sc"],
  "fractional_positions": [[0.126, 0.626, 0.752], [0.374, 0.126, 0.500], [0.626, 0.874, 0.500], [0.874, 0.374, 0.248], [0.000, 0.000, 0.000], [0.076, 0.130, 0.500], [0.130, 0.630, 0.054], [0.370, 0.424, 0.500], [0.424, 0.924, 0.054], [0.500, 0.500, 0.000], [0.576, 0.076, 0.946], [0.630, 0.576, 0.500], [0.870, 0.370, 0.946], [0.924, 0.870, 0.500], [0.250, 0.250, 0.000], [0.750, 0.750, 0.000], [0.250, 0.750, 0.500], [0.750, 0.250, 0.500]]
}